6
Lattice="-2.037 3.256 5.107 2.037 -3.256 5.107 2.037 3.256 -5.107" Properties=species:S:1:pos:R:3 comment="AcGe5, optimized geometry, DFT PBE" e_tot_ev_per_atom=-4.793 space_group=Immm magnetic_moment_mub_per_fu=0.0 e_form_ev_per_atom=-0.26 polymorph_energy_mev_per_atom=0 pbc="T T T"
Ac 0.000 0.000 0.000
Ge 2.037 1.986 -1.775
Ge 2.037 1.986 1.775
Ge 0.000 3.256 0.000
Ge 0.000 1.270 3.332
Ge 0.000 1.270 6.882

***

10
Lattice="6.859 0.000 0.000 0.000 6.859 0.000 0.000 0.000 4.921" Properties=species:S:1:pos:R:3 comment="MoPt2Br2, optimized geometry, DFT PBE" e_tot_ev_per_atom=-4.623 space_group=P4/mbm formation_energy_uncorrected_mev_per_atom=629 magnetic_moment_mub_per_fu=3.3 polymorph_energy_mev_per_atom=0 pbc="T T T"
Mo 0.000 0.000 0.000
Mo 3.429 3.429 0.000
Pt 0.958 2.471 0.000
Pt 2.471 5.901 0.000
Pt 4.388 0.958 0.000
Pt 5.901 4.388 0.000
Br 1.370 2.060 2.460
Br 2.060 5.489 2.460
Br 4.799 1.370 2.460
Br 5.489 4.799 2.460

***

Calculated volume: 22.6, 23.1 (A^3/atom)